No. 1
DFT (PBE) results for crystalline TmBi2F11 at its relaxed geometry.

Properties
* D(E_F): 2.70 states/eV/cell
* magnetic moment: 0.0 μB per cell
* ρ: 5.8 g cm⁻³
* electronic total energy: -4.97 eV per atom
* raw formation energy: -2.627 eV/atom

a b c (Å): 8.5026 8.5026 8.5026
angles (deg): 122.26 105.84 101.15
Atoms (fractional coordinates):
1 Tm 0.2500 0.2500 0.0000
2 Tm 0.7500 0.7500 0.0000
3 Bi 0.1818 0.6467 0.8285
4 Bi 0.3182 0.1467 0.4649
5 Bi 0.6818 0.8533 0.5351
6 Bi 0.8182 0.3533 0.1715
7 F 0.0000 0.5000 0.5000
8 F 0.0311 0.9527 0.2734
9 F 0.0673 0.3509 0.1447
10 F 0.1793 0.4527 0.9217
11 F 0.2063 0.9226 0.8553
12 F 0.2124 0.3694 0.5817
13 F 0.2876 0.8694 0.1570
14 F 0.2937 0.1491 0.7163
15 F 0.3207 0.2424 0.2734
16 F 0.4327 0.5774 0.2837
17 F 0.4689 0.7423 0.9217
18 F 0.5000 0.0000 0.5000
19 F 0.5311 0.2576 0.0783
20 F 0.5673 0.4226 0.7163
21 F 0.6793 0.7577 0.7266
22 F 0.7063 0.8509 0.2837
23 F 0.7124 0.1306 0.8430
24 F 0.7876 0.6306 0.4183
25 F 0.7937 0.0774 0.1447
26 F 0.8207 0.5473 0.0783
27 F 0.9327 0.6491 0.8553
28 F 0.9689 0.0473 0.7266


No. 2
DFT (PBE) results for crystalline TmBi2F8 at its relaxed geometry.

Properties
* D(E_F): 1.42 states/eV/cell
* magnetic moment: 0.0 μB per cell
* ρ: 7.8 g cm⁻³
* electronic total energy: -5.32 eV per atom
* raw formation energy: -2.851 eV/atom

a b c (Å): 8.1631 8.1631 5.3180
angles (deg): 104.62 104.62 27.36
Atoms (fractional coordinates):
1 Tm 0.0000 0.0000 0.0000
2 Bi 0.3344 0.3344 0.3329
3 Bi 0.6656 0.6656 0.6671
4 F 0.0949 0.0949 0.3937
5 F 0.1318 0.1318 0.9158
6 F 0.2659 0.2659 0.6822
7 F 0.4755 0.4755 0.2005
8 F 0.5245 0.5245 0.7995
9 F 0.7341 0.7341 0.3178
10 F 0.8682 0.8682 0.0842
11 F 0.9051 0.9051 0.6063


No. 3
DFT (PBE) results for crystalline TmBiF at its relaxed geometry.

Properties
* D(E_F): 0.83 states/eV/cell
* magnetic moment: 0.0 μB per cell
* ρ: 10.1 g cm⁻³
* electronic total energy: -5.38 eV per atom
* raw formation energy: -1.973 eV/atom

a b c (Å): 3.9159 3.9159 4.9154
angles (deg): 90.00 90.00 120.00
Atoms (fractional coordinates):
1 Tm 0.0000 0.0000 0.0000
2 Bi 0.6667 0.3333 0.5000
3 F 0.3333 0.6667 0.0000


No. 4
DFT (PBE) results for crystalline UBiF at its relaxed geometry.

Properties
* D(E_F): 27.69 states/eV/cell
* magnetic moment: 8.4 μB per cell
* ρ: 7.1 g cm⁻³
* electronic total energy: -6.87 eV per atom
* raw formation energy: -1.191 eV/atom

a b c (Å): 8.3495 8.3495 6.2546
angles (deg): 90.00 90.00 90.00
Atoms (fractional coordinates):
1 U 0.0000 0.2775 0.0000
2 U 0.0000 0.7225 0.0000
3 U 0.2775 0.0000 0.5000
4 U 0.7225 0.0000 0.5000
5 Bi 0.0000 0.2644 0.5000
6 Bi 0.0000 0.7356 0.5000
7 Bi 0.2644 0.0000 0.0000
8 Bi 0.7356 0.0000 0.0000
9 F 0.1588 0.5000 0.0000
10 F 0.5000 0.1588 0.5000
11 F 0.5000 0.8412 0.5000
12 F 0.8412 0.5000 0.0000